Record 1
First-principles (PBE) data for a geometry-optimized Tm2UBi3 structure, as listed in Alexandria via LeMat-Bulk.

As for the space group: Fddd (70).

Cell: 7.734 7.734 14.012 Å, 100.70 100.70 109.10°
Last column: magnetic moment on the atom in μB.
Positions (direct):
Tm 0.583 0.583 0.167  -0.01
Tm 0.001 0.501 0.003  0.01
Tm 0.499 0.999 0.997  0.01
Tm 0.751 0.751 0.503  0.01
Tm 0.833 0.333 0.667  -0.01
Tm 0.249 0.249 0.497  0.01
Tm 0.667 0.167 0.333  -0.01
Tm 0.417 0.417 0.833  -0.01
Bi 0.338 0.835 0.165  -0.05
Bi 0.254 0.254 0.000  -0.05
Bi 0.996 0.496 0.500  -0.05
Bi 0.912 0.915 0.335  -0.05
Bi 0.581 0.577 0.665  -0.05
Bi 0.504 0.004 0.500  -0.05
Bi 0.423 0.419 0.335  -0.05
Bi 0.669 0.173 0.835  -0.05
Bi 0.827 0.331 0.165  -0.05
Bi 0.746 0.746 0.000  -0.05
Bi 0.085 0.088 0.665  -0.05
Bi 0.165 0.662 0.835  -0.05
U 0.084 0.084 0.167  2.59
U 0.334 0.834 0.667  2.59
U 0.916 0.916 0.833  2.59
U 0.166 0.666 0.333  2.59

=====

Record 2
First-principles (PBE) data for a geometry-optimized PrTmGa structure, as listed in Alexandria via LeMat-Bulk.

As for the space group: C2/m (12).

Cell: 4.909 6.791 6.170 Å, 62.92 66.51 68.78°
Positions (direct):
Ga 0.141 0.366 0.353
Ga 0.859 0.634 0.647
Tm 0.187 0.888 0.737
Tm 0.813 0.112 0.263
Pr 0.554 0.695 0.197
Pr 0.446 0.305 0.803

=====

| no. | formation energy (eV/atom) | M_tot (μB/f.u.) | total DFT energy (no corrections) (eV/cell) |
| --- | --- | --- | --- |
| 1 | -0.45 | 2.7 | -138.31 |
| 2 | -0.37 | 0.0 | -26.80 |